First-principles (PBE) data for Zr2InTc after structural relaxation, as listed in Alexandria.

## Properties
Energy above the lowest structure with this stoichiometry: 0.534 eV per atom
Uncorrected energy: -59.12 eV for the cell shown
Calculated formation energy: 0.160 eV per atom
SG: I-42d, No. 122

Lattice parameters (Å, degrees): 7.7449 7.7449 6.1919 51.29 51.29 90.00
Fractional positions:
Zr 0.5777 0.1250 0.2500
Zr 0.1723 0.6250 0.2500
Tc 0.5000 0.5000 0.0000
In 0.7500 0.2500 0.5000
Tc 0.2500 0.7500 0.5000
Zr 0.8750 0.8277 0.7500
Zr 0.3750 0.4223 0.7500
In 0.0000 0.0000 0.0000